[1]
Material: Ba3ZnCd
Method: DFT, meta-GGA SCAN
State: PBEsol geometry

Theoretical density in Mg/m³: 3.59
Size of the total moment in μB per cell: 1.2
DOS(E_F) in states/eV/atom: 1.6199
Calculated total energy in eV per atom: -32.3081

The structure in CIF format:
```
data_Ba3ZnCd
_chemical_formula_sum 'Ba3 Zn1 Cd1'
_space_group_name_H-M_alt 'P m -3 m'
_space_group_IT_number 221
_space_group_name_Hall '-P 4 2 3'
_cell_length_a 6.485
_cell_length_b 6.485
_cell_length_c 6.485
_cell_angle_alpha 90.00
_cell_angle_beta 90.00
_cell_angle_gamma 90.00
loop_
_atom_site_label
_atom_site_fract_x
_atom_site_fract_y
_atom_site_fract_z
Ba1 0.000 0.000 0.500
Zn1 0.500 0.500 0.500
Cd1 0.000 0.000 0.000
```

[2]
Material: BaZn2Cd2
Method: DFT, meta-GGA SCAN
State: PBEsol geometry

Theoretical density in Mg/m³: 6.69
Size of the total moment in μB per cell: 0.0
DOS(E_F) in states/eV/atom: 0.6706
Calculated total energy in eV per atom: -25.7039

The structure in CIF format:
```
data_BaZn2Cd2
_chemical_formula_sum 'Ba2 Zn4 Cd4'
_space_group_name_H-M_alt 'I 4/m m m'
_space_group_IT_number 139
_space_group_name_Hall '-I 4 2'
_cell_length_a 4.842
_cell_length_b 4.842
_cell_length_c 10.441
_cell_angle_alpha 90.00
_cell_angle_beta 90.00
_cell_angle_gamma 90.00
loop_
_atom_site_label
_atom_site_fract_x
_atom_site_fract_y
_atom_site_fract_z
Ba1 0.000 0.000 0.000
Zn1 0.000 0.500 0.250
Cd1 0.000 0.000 0.366
```

[3]
Material: Ba2ZnCd
Method: DFT, meta-GGA SCAN
State: PBEsol geometry

Theoretical density in Mg/m³: 5.52
Size of the total moment in μB per cell: 0.0
DOS(E_F) in states/eV/atom: 0.7235
Calculated total energy in eV per atom: -31.0243
Distance to the lowest polymorph of the same formula in meV/atom: 1

The structure in CIF format:
```
data_Ba2ZnCd
_chemical_formula_sum 'Ba8 Zn4 Cd4'
_space_group_name_H-M_alt 'F m -3 m'
_space_group_IT_number 225
_space_group_name_Hall '-F 4 2 3'
_cell_length_a 8.168
_cell_length_b 8.168
_cell_length_c 8.168
_cell_angle_alpha 90.00
_cell_angle_beta 90.00
_cell_angle_gamma 90.00
loop_
_atom_site_label
_atom_site_fract_x
_atom_site_fract_y
_atom_site_fract_z
Ba1 0.250 0.250 0.250
Zn1 0.000 0.000 0.000
Cd1 0.000 0.000 0.500
```

Question: Among the records above, which one has the highest size of the total moment?
Answer: Ba3ZnCd